! TiP2Br SCAN PBEsol geometry; values from VASP
! E ... -53.8 eV per cell
! V ... 65 Å³/f.u.
! Total magnetization ... 0.000 μB per atom
! Symmetry ... Fm-3m, No. 225
! N(E_F) ... 1.2065 states/eV/atom
! Crystal system ... cubic
&SYSTEM
  ibrav = 0, nat = 4, ntyp = 3
/
ATOMIC_SPECIES
P 30.97 P.upf
Br 79.90 Br.upf
Ti 47.87 Ti.upf
CELL_PARAMETERS angstrom
4.5172 0.0000 0.0000
2.2586 3.9120 0.0000
2.2586 1.3040 3.6883
ATOMIC_POSITIONS crystal
P 0.2500 0.2500 0.2500
P 0.7500 0.7500 0.7500
Br 0.5000 0.5000 0.5000
Ti 0.0000 0.0000 0.0000



! Tl2PBr SCAN PBEsol geometry; values from VASP
! V ... 107 Å³/f.u.
! Total magnetization ... 0.000 μB per atom
! Symmetry ... P4mm, No. 99
! Energy above the lowest structure with this stoichiometry ... 0.0000 eV/atom
! N(E_F) ... 0.4741 states/eV/atom
! Crystal system ... tetragonal
&SYSTEM
  ibrav = 0, nat = 4, ntyp = 3
/
ATOMIC_SPECIES
Br 79.90 Br.upf
P 30.97 P.upf
Tl 204.38 Tl.upf
CELL_PARAMETERS angstrom
-2.6801 -3.1778 -0.8587
2.5827 -1.3435 -3.0892
2.8596 -3.4650 3.8978
ATOMIC_POSITIONS crystal
Br 0.0000 0.0000 0.3756
P 0.5000 0.5000 0.8749
Tl 0.0000 0.0000 0.8753
Tl 0.5000 0.5000 0.3743



! TlPBr3 SCAN PBEsol geometry; values from VASP
! E ... -139.4 eV per cell
! V ... 167 Å³/f.u.
! Total magnetization ... 0.520 μB per atom
! Symmetry ... Pm-3m, No. 221
! N(E_F) ... 1.2110 states/eV/atom
! Crystal system ... cubic
&SYSTEM
  ibrav = 0, nat = 5, ntyp = 3
/
ATOMIC_SPECIES
P 30.97 P.upf
Tl 204.38 Tl.upf
Br 79.90 Br.upf
CELL_PARAMETERS angstrom
-5.3767 -0.0811 1.2026
-1.1846 -0.6605 -5.3406
0.2228 -5.4698 0.6270
ATOMIC_POSITIONS crystal
P 0.5000 0.5000 0.5000
Tl 0.0000 0.0000 0.0000
Br 0.0000 0.5000 0.0000
Br 0.0000 0.0000 0.5000
Br 0.5000 0.0000 0.0000



! Tl2PBr SCAN PBEsol geometry; values from VASP
! V ... 98 Å³/f.u.
! Total magnetization ... 0.000 μB per atom
! Symmetry ... F-43m, No. 216
! Energy above the lowest structure with this stoichiometry ... 0.3602 eV/atom
! N(E_F) ... 0.5299 states/eV/atom
! Crystal system ... cubic
&SYSTEM
  ibrav = 0, nat = 4, ntyp = 3
/
ATOMIC_SPECIES
Br 79.90 Br.upf
P 30.97 P.upf
Tl 204.38 Tl.upf
CELL_PARAMETERS angstrom
5.1757 0.0000 0.0000
2.5879 4.4823 0.0000
2.5879 1.4941 4.2260
ATOMIC_POSITIONS crystal
Br 0.5000 0.5000 0.5000
P 0.7500 0.7500 0.7500
Tl 0.0000 0.0000 0.0000
Tl 0.2500 0.2500 0.2500



! PWBr2 SCAN PBEsol geometry; values from VASP
! V ... 68 Å³/f.u.
! Total magnetization ... 0.000 μB per atom
! Symmetry ... I-4m2, No. 119
! Energy above the lowest structure with this stoichiometry ... 0.9616 eV/atom
! N(E_F) ... 0.5813 states/eV/atom
! Crystal system ... tetragonal
&SYSTEM
  ibrav = 0, nat = 4, ntyp = 3
/
ATOMIC_SPECIES
Br 79.90 Br.upf
P 30.97 P.upf
W 183.84 W.upf
CELL_PARAMETERS angstrom
-2.4182 1.1097 -3.4998
4.3774 -1.5731 -0.7620
-3.0556 -2.9317 1.1816
ATOMIC_POSITIONS crystal
Br 0.0000 0.0000 0.0000
Br 0.7500 0.5000 0.2500
P 0.5000 0.0000 0.5000
W 0.2500 0.5000 0.7500



! PW2Br SCAN PBEsol geometry; values from VASP
! V ... 64 Å³/f.u.
! Total magnetization ... 0.000 μB per atom
! Symmetry ... C2/m, No. 12
! Energy above the lowest structure with this stoichiometry ... 0.2708 eV/atom
! N(E_F) ... 0.8249 states/eV/atom
! Crystal system ... monoclinic
&SYSTEM
  ibrav = 0, nat = 4, ntyp = 3
/
ATOMIC_SPECIES
Br 79.90 Br.upf
P 30.97 P.upf
W 183.84 W.upf
CELL_PARAMETERS angstrom
-1.5339 -1.6233 -2.0529
-1.9447 -1.0765 4.5699
-0.9092 4.9109 -0.9384
ATOMIC_POSITIONS crystal
Br 0.0000 0.0000 0.0000
P 0.0000 0.5000 0.5000
W 0.0000 0.5000 0.0000
W 0.0000 0.0000 0.5000